# PrDyTm, optimized geometry, DFT PBE
# Density of states at the Fermi level = 7.799 states/eV/cell
# Formation energy from the elements = 0.021 eV per atom
# Calculated total energy = -27.58 eV/cell
data_PrDyTm
_chemical_formula_sum 'Pr2 Dy2 Tm2'
_symmetry_space_group_name_H-M 'P -1'
_symmetry_Int_Tables_number 2
_cell_length_a 3.595
_cell_length_b 6.193
_cell_length_c 9.451
_cell_angle_alpha 96.24
_cell_angle_beta 100.93
_cell_angle_gamma 106.87
loop_
_symmetry_equiv_pos_as_xyz
'x,y,z'
'-x,-y,-z'
loop_
_atom_site_label
_atom_site_type_symbol
_atom_site_fract_x
_atom_site_fract_y
_atom_site_fract_z
Pr1 Pr 0.248 0.248 0.249
Dy1 Dy 0.083 0.752 0.414
Tm1 Tm 0.414 0.746 0.083